1.
# Tb3Ho3Th2 | Alexandria via LeMat-Bulk | PBE | relaxed
data_Tb3Ho3Th2
_chemical_formula_sum 'Tb6 Ho6 Th4'
_symmetry_space_group_name_H-M 'I m m m'
_symmetry_Int_Tables_number 71
_symmetry_space_group_name_Hall '-I 2 2'
_cell_length_a 5.0263
_cell_length_b 5.0263
_cell_length_c 20.1662
_cell_angle_alpha 90.00
_cell_angle_beta 90.00
_cell_angle_gamma 90.00
loop_
_atom_site_label
_atom_site_fract_x
_atom_site_fract_y
_atom_site_fract_z
Tb1 0.0000 0.0000 0.0000
Tb2 0.0000 0.5000 0.1273
Ho1 0.0000 0.0000 0.5000
Ho2 0.0000 0.5000 0.3730
Th1 0.0000 0.0000 0.2499
# Total magnetic moment = 0.00 μB per formula unit
# Density = 9.4 g/cm3
# Formation enthalpy at 0 K = 24 meV/atom
# Crystal system = orthorhombic
# Polymorph energy (0 for the lowest one) = 0.00 kJ per mole of atoms
# Volume = 31.8 Å³/atom

***

2.
# Ba7Tl2O2 | Alexandria via LeMat-Bulk | PBE | relaxed
data_Ba7Tl2O2
_chemical_formula_sum 'Ba14 Tl4 O4'
_symmetry_space_group_name_H-M 'C 1 2/m 1'
_symmetry_Int_Tables_number 12
_symmetry_space_group_name_Hall '-C 2y'
_cell_length_a 11.4036
_cell_length_b 13.5328
_cell_length_c 7.1906
_cell_angle_alpha 90.00
_cell_angle_beta 102.85
_cell_angle_gamma 90.00
loop_
_atom_site_label
_atom_site_fract_x
_atom_site_fract_y
_atom_site_fract_z
Ba1 0.0000 0.0000 0.0000
Ba2 0.1267 0.5000 0.7645
Ba3 0.2444 0.3453 0.2569
Tl1 0.0000 0.2855 0.5000
O1 0.2168 0.0000 0.9237
# Total magnetic moment = 0.00 μB per formula unit
# Density = 4.3 g/cm3
# Crystal system = monoclinic
# ΔE_f (raw) = -0.96 eV per atom
# Volume = 49.2 Å³/atom

***

3.
# TbErHgRu | Alexandria via LeMat-Bulk | PBE | relaxed
data_TbErHgRu
_chemical_formula_sum 'Tb1 Er1 Hg1 Ru1'
_symmetry_space_group_name_H-M 'P 4 m m'
_symmetry_Int_Tables_number 99
_symmetry_space_group_name_Hall 'P 4 -2'
_cell_length_a 3.4682
_cell_length_b 3.4682
_cell_length_c 7.5102
_cell_angle_alpha 90.00
_cell_angle_beta 90.00
_cell_angle_gamma 90.00
loop_
_atom_site_label
_atom_site_fract_x
_atom_site_fract_y
_atom_site_fract_z
Tb1 0.0000 0.0000 0.0000
Er1 0.0000 0.0000 0.5597
Hg1 0.5000 0.5000 0.2855
Ru1 0.5000 0.5000 0.7758
# Total magnetic moment = 0.00 μB per formula unit
# Density = 11.5 g/cm3
# Formation enthalpy at 0 K = -492 meV/atom
# Crystal system = tetragonal
# Polymorph energy (0 for the lowest one) = 0.00 kJ per mole of atoms
# Volume = 22.6 Å³/atom

***

4.
# Sr3In4Bi4 | Alexandria via LeMat-Bulk | PBE | relaxed
data_Sr3In4Bi4
_chemical_formula_sum 'Sr6 In8 Bi8'
_symmetry_space_group_name_H-M 'I m m m'
_symmetry_Int_Tables_number 71
_symmetry_space_group_name_Hall '-I 2 2'
_cell_length_a 4.6599
_cell_length_b 9.9158
_cell_length_c 16.4323
_cell_angle_alpha 90.00
_cell_angle_beta 90.00
_cell_angle_gamma 90.00
loop_
_atom_site_label
_atom_site_fract_x
_atom_site_fract_y
_atom_site_fract_z
Sr1 0.0000 0.0000 0.0000
Sr2 0.0000 0.5000 0.1158
In1 0.0000 0.2911 0.3196
Bi1 0.0000 0.0000 0.2183
Bi2 0.0000 0.2170 0.5000
# Total magnetic moment = 0.00 μB per formula unit
# Density = 6.8 g/cm3
# Formation enthalpy at 0 K = -437 meV/atom
# Crystal system = orthorhombic
# Volume = 34.5 Å³/atom

***

5.
# Sm3Dy7Tm | Alexandria via LeMat-Bulk | PBE | relaxed
data_Sm3Dy7Tm
_chemical_formula_sum 'Sm3 Dy7 Tm1'
_symmetry_space_group_name_H-M 'P 3 m 1'
_symmetry_Int_Tables_number 156
_symmetry_space_group_name_Hall 'P 3 -2"'
_cell_length_a 7.0519
_cell_length_b 7.0519
_cell_length_c 8.6265
_cell_angle_alpha 90.00
_cell_angle_beta 90.00
_cell_angle_gamma 120.00
loop_
_atom_site_label
_atom_site_fract_x
_atom_site_fract_y
_atom_site_fract_z
Sm1 0.0002 0.5001 0.0000
Dy1 0.1676 0.3353 0.3370
Dy2 0.3352 0.1676 0.6643
Dy3 0.6667 0.3333 0.3385
Tm1 0.3333 0.6667 0.6621
# Total magnetic moment = 0.00 μB per formula unit
# Density = 7.9 g/cm3
# Formation enthalpy at 0 K = 179 meV/atom
# Crystal system = trigonal
# Polymorph energy (0 for the lowest one) = 3.36 kJ per mole of atoms
# Volume = 33.8 Å³/atom

***

6.
# Ac12C5Se3 | Alexandria via LeMat-Bulk | PBE | relaxed
data_Ac12C5Se3
_chemical_formula_sum 'Ac96 C40 Se24'
_symmetry_space_group_name_H-M 'I a -3 d'
_symmetry_Int_Tables_number 230
_symmetry_space_group_name_Hall '-I 4bd 2c 3'
_cell_length_a 17.1606
_cell_length_b 17.1606
_cell_length_c 17.1606
_cell_angle_alpha 90.00
_cell_angle_beta 90.00
_cell_angle_gamma 90.00
loop_
_atom_site_label
_atom_site_fract_x
_atom_site_fract_y
_atom_site_fract_z
Ac1 0.0319 0.0547 0.6502
C1 0.0000 0.0000 0.0000
C2 0.0000 0.2500 0.3750
Se1 0.0000 0.2500 0.1250
# Total magnetic moment = 0.00 μB per formula unit
# Density = 7.9 g/cm3
# Crystal system = cubic
# ΔE_f (raw) = -0.28 eV per atom
# Volume = 31.6 Å³/atom

***

7.
# BeMoBr2 | Alexandria via LeMat-Bulk | PBE | relaxed
data_BeMoBr2
_chemical_formula_sum 'Be1 Mo1 Br2'
_symmetry_space_group_name_H-M 'P 4/m m m'
_symmetry_Int_Tables_number 123
_symmetry_space_group_name_Hall '-P 4 2'
_cell_length_a 4.6745
_cell_length_b 4.6745
_cell_length_c 3.1269
_cell_angle_alpha 90.00
_cell_angle_beta 90.00
_cell_angle_gamma 90.00
loop_
_atom_site_label
_atom_site_fract_x
_atom_site_fract_y
_atom_site_fract_z
Be1 0.0000 0.0000 0.0000
Mo1 0.5000 0.5000 0.0000
Br1 0.0000 0.5000 0.5000
# Total magnetic moment = 0.83 μB per formula unit
# Density = 6.4 g/cm3
# Crystal system = tetragonal
# ΔE_f (raw) = 1.03 eV per atom
# Polymorph energy (0 for the lowest one) = 96.30 kJ per mole of atoms
# Volume = 17.1 Å³/atom

***

8.
# SiAsSeBr2 | Alexandria via LeMat-Bulk | PBE | relaxed
data_SiAsSeBr2
_chemical_formula_sum 'Si1 As1 Se1 Br2'
_symmetry_space_group_name_H-M 'P 4/m m m'
_symmetry_Int_Tables_number 123
_symmetry_space_group_name_Hall '-P 4 2'
_cell_length_a 5.1538
_cell_length_b 5.1538
_cell_length_c 5.3638
_cell_angle_alpha 90.00
_cell_angle_beta 90.00
_cell_angle_gamma 90.00
loop_
_atom_site_label
_atom_site_fract_x
_atom_site_fract_y
_atom_site_fract_z
Si1 0.0000 0.0000 0.0000
As1 0.5000 0.5000 0.0000
Se1 0.5000 0.5000 0.5000
Br1 0.0000 0.5000 0.5000
# Total magnetic moment = 0.00 μB per formula unit
# Density = 4.0 g/cm3
# Crystal system = tetragonal
# ΔE_f (raw) = 0.82 eV per atom
# Polymorph energy (0 for the lowest one) = 39.29 kJ per mole of atoms
# Volume = 28.5 Å³/atom

***

9.
# LiZnIn | Alexandria via LeMat-Bulk | PBE | relaxed
data_LiZnIn
_chemical_formula_sum 'Li2 Zn2 In2'
_symmetry_space_group_name_H-M 'I 4 m m'
_symmetry_Int_Tables_number 107
_symmetry_space_group_name_Hall 'I 4 -2'
_cell_length_a 2.9650
_cell_length_b 2.9650
_cell_length_c 12.9076
_cell_angle_alpha 90.00
_cell_angle_beta 90.00
_cell_angle_gamma 90.00
loop_
_atom_site_label
_atom_site_fract_x
_atom_site_fract_y
_atom_site_fract_z
Li1 0.0000 0.0000 0.0000
Zn1 0.0000 0.0000 0.6431
In1 0.0000 0.0000 0.3251
# Total magnetic moment = 0.00 μB per formula unit
# Density = 5.5 g/cm3
# Formation enthalpy at 0 K = -104 meV/atom
# Crystal system = tetragonal
# Volume = 18.9 Å³/atom

***

10.
# TiTl2BS | Alexandria via LeMat-Bulk | PBE | relaxed
data_TiTl2BS
_chemical_formula_sum 'Ti1 Tl2 B1 S1'
_symmetry_space_group_name_H-M 'P 4/m m m'
_symmetry_Int_Tables_number 123
_symmetry_space_group_name_Hall '-P 4 2'
_cell_length_a 5.6032
_cell_length_b 5.6032
_cell_length_c 4.0802
_cell_angle_alpha 90.00
_cell_angle_beta 90.00
_cell_angle_gamma 90.00
loop_
_atom_site_label
_atom_site_fract_x
_atom_site_fract_y
_atom_site_fract_z
Ti1 0.0000 0.0000 0.0000
Tl1 0.0000 0.5000 0.0000
B1 0.0000 0.0000 0.5000
S1 0.5000 0.5000 0.5000
# Total magnetic moment = 0.70 μB per formula unit
# Density = 6.5 g/cm3
# Crystal system = tetragonal
# ΔE_f (raw) = 0.93 eV per atom
# Volume = 25.6 Å³/atom

***

11.
# Cd2ReOs | Alexandria via LeMat-Bulk | PBE | relaxed
data_Cd2ReOs
_chemical_formula_sum 'Cd4 Re2 Os2'
_symmetry_space_group_name_H-M 'C m m m'
_symmetry_Int_Tables_number 65
_symmetry_space_group_name_Hall '-C 2 2'
_cell_length_a 2.9311
_cell_length_b 4.7522
_cell_length_c 9.8052
_cell_angle_alpha 90.00
_cell_angle_beta 90.00
_cell_angle_gamma 90.00
loop_
_atom_site_label
_atom_site_fract_x
_atom_site_fract_y
_atom_site_fract_z
Cd1 0.0000 0.0000 0.2474
Re1 0.0000 0.5000 0.5000
Os1 0.0000 0.5000 0.0000
# Total magnetic moment = 0.01 μB per formula unit
# Density = 14.6 g/cm3
# Formation enthalpy at 0 K = 731 meV/atom
# Crystal system = orthorhombic
# Polymorph energy (0 for the lowest one) = 50.33 kJ per mole of atoms
# Volume = 17.1 Å³/atom